VASP calculation (PBE-GGA) on crystalline MgIN2 at its relaxed geometry.

The total energy is -3.420 eV/atom.

It has space group Fm-3m (No. 225), with a = 5.9265 Å, b = 5.9265 Å, c = 5.9265 Å, α = 90.00°, β = 90.00° and γ = 90.00°. The inequivalent atoms are Mg at (0.0000, 0.0000, 0.0000), I at (0.0000, 0.0000, 0.5000) and N at (0.2500, 0.2500, 0.2500).

***

VASP calculation (PBE-GGA) on crystalline MgIN at its relaxed geometry.

The total energy is -4.262 eV/atom.

It has space group P-1 (No. 2), with a = 3.7268 Å, b = 6.1507 Å, c = 7.1854 Å, α = 115.26°, β = 104.89° and γ = 90.00°. The inequivalent atoms are Mg at (0.1419, 0.1433, 0.2874), I at (0.1702, 0.6681, 0.3360) and N at (0.4500, 0.9493, 0.8986).

***

VASP calculation (PBE-GGA) on crystalline Mg2IN at its relaxed geometry.

The total energy is -4.005 eV/atom.

It has space group I-42d (No. 122), with a = 6.0493 Å, b = 6.0493 Å, c = 9.5947 Å, α = 90.00°, β = 90.00° and γ = 90.00°. The inequivalent atoms are Mg at (0.0977, 0.2500, 0.1250), I at (0.0000, 0.0000, 0.5000) and N at (0.0000, 0.0000, 0.0000).

***

VASP calculation (PBE-GGA) on crystalline MgI2N2 at its relaxed geometry.

The total energy is -2.763 eV/atom.

It has space group I4/mmm (No. 139), with a = 4.8330 Å, b = 4.8330 Å, c = 9.1725 Å, α = 90.00°, β = 90.00° and γ = 90.00°. The inequivalent atoms are Mg at (0.0000, 0.0000, 0.0000), I at (0.0000, 0.0000, 0.3004) and N at (0.0000, 0.5000, 0.2500).

***

VASP calculation (PBE-GGA) on crystalline MgIN2 at its relaxed geometry.

The total energy is -3.693 eV/atom.

It has space group R-3m (No. 166, hexagonal axes), with a = 3.6073 Å, b = 3.6073 Å, c = 18.4898 Å, α = 90.00°, β = 90.00° and γ = 120.00°. The inequivalent atoms are Mg at (0.0000, 0.0000, 0.0000), I at (0.0000, 0.0000, 0.5000) and N at (0.0000, 0.0000, 0.1076).

***

VASP calculation (PBE-GGA) on crystalline MgI2N2 at its relaxed geometry.

The total energy is -2.897 eV/atom.

It has space group P4/mbm (No. 127), with a = 7.6728 Å, b = 7.6728 Å, c = 3.7843 Å, α = 90.00°, β = 90.00° and γ = 90.00°. The inequivalent atoms are Mg at (0.0000, 0.0000, 0.0000), I at (0.1701, 0.3299, 0.0000) and N at (0.2325, 0.7325, 0.5000).

***

VASP calculation (PBE-GGA) on crystalline MgI2N at its relaxed geometry.

The total energy is -2.437 eV/atom.

It has space group Fm-3m (No. 225), with a = 7.5362 Å, b = 7.5362 Å, c = 7.5362 Å, α = 90.00°, β = 90.00° and γ = 90.00°. The inequivalent atoms are Mg at (0.0000, 0.0000, 0.0000), I at (0.2500, 0.2500, 0.2500) and N at (0.0000, 0.0000, 0.5000).

***

VASP calculation (PBE-GGA) on crystalline MgI3N at its relaxed geometry.

The total energy is -2.285 eV/atom.

It has space group Pm-3m (No. 221), with a = 5.7595 Å, b = 5.7595 Å, c = 5.7595 Å, α = 90.00°, β = 90.00° and γ = 90.00°. The inequivalent atoms are Mg at (0.0000, 0.0000, 0.0000), I at (0.0000, 0.0000, 0.5000) and N at (0.5000, 0.5000, 0.5000).

***

VASP calculation (PBE-GGA) on crystalline MgI2N2 at its relaxed geometry.

The total energy is -2.882 eV/atom.

It has space group Pbam (No. 55), with a = 7.4673 Å, b = 9.3769 Å, c = 4.1000 Å, α = 90.00°, β = 90.00° and γ = 90.00°. The inequivalent atoms are Mg at (0.0000, 0.0000, 0.0000), I at (0.2406, 0.1175, 0.5000) and N at (0.1507, 0.8027, 0.0000).

***

VASP calculation (PBE-GGA) on crystalline MgIN3 at its relaxed geometry.

The total energy is -3.629 eV/atom.

It has space group Pm-3m (No. 221), with a = 4.0900 Å, b = 4.0900 Å, c = 4.0900 Å, α = 90.00°, β = 90.00° and γ = 90.00°. The inequivalent atoms are Mg at (0.0000, 0.0000, 0.0000), I at (0.5000, 0.5000, 0.5000) and N at (0.0000, 0.0000, 0.5000).

***

VASP calculation (PBE-GGA) on crystalline NaMgIN2 at its relaxed geometry.

The total energy is -2.736 eV/atom.

It has space group P4/mmm (No. 123), with a = 4.5691 Å, b = 4.5691 Å, c = 5.9452 Å, α = 90.00°, β = 90.00° and γ = 90.00°. The inequivalent atoms are Na at (0.0000, 0.0000, 0.0000), Mg at (0.5000, 0.5000, 0.5000), I at (0.0000, 0.0000, 0.5000) and N at (0.0000, 0.5000, 0.0000).

***

VASP calculation (PBE-GGA) on crystalline NaMgIN2 at its relaxed geometry.

The total energy is -3.554 eV/atom.

It has space group P4/mmm (No. 123), with a = 4.3418 Å, b = 4.3418 Å, c = 6.1710 Å, α = 90.00°, β = 90.00° and γ = 90.00°. The inequivalent atoms are Na at (0.0000, 0.0000, 0.0000), Mg at (0.5000, 0.5000, 0.5000), I at (0.5000, 0.5000, 0.0000) and N at (0.0000, 0.5000, 0.5000).

***

Please write out number 3 again, unchanged.
VASP calculation (PBE-GGA) on crystalline Mg2IN at its relaxed geometry.

The total energy is -4.005 eV/atom.

It has space group I-42d (No. 122), with a = 6.0493 Å, b = 6.0493 Å, c = 9.5947 Å, α = 90.00°, β = 90.00° and γ = 90.00°. The inequivalent atoms are Mg at (0.0977, 0.2500, 0.1250), I at (0.0000, 0.0000, 0.5000) and N at (0.0000, 0.0000, 0.0000).